{"formula": "Li4NiRh", "functional": "PBE-GGA", "state": "optimized geometry", "polymorph_energy_mev_per_atom": 216, "rho_g_cm3": 4.31, "ef_mev_per_atom": 137, "lattice_angstrom": [[-3.815, -2.622, 0.766], [-3.244, 1.421, 3.078], [-4.193, 1.460, -1.517]], "species": ["Li", "Li", "Li", "Li", "Ni", "Rh"], "fractional_positions": [[0.625, 0.625, 0.124], [0.625, 0.124, 0.625], [0.625, 0.625, 0.625], [0.124, 0.625, 0.625], [0.250, 0.250, 0.250], [0.000, 0.000, 0.000]]}

***

{"formula": "Mg2ScCu", "functional": "PBE-GGA", "state": "optimized geometry", "rho_g_cm3": 3.16, "ef_mev_per_atom": -50, "lattice_angstrom": [[-3.760, 0.383, 0.477], [-0.426, -3.297, -0.714], [0.421, -3.100, 5.809]], "species": ["Cu", "Mg", "Mg", "Sc"], "fractional_positions": [[0.500, 0.956, 0.703], [0.000, 0.821, 0.993], [0.500, 0.187, 0.255], [0.000, 0.536, 0.549]]}

***

{"formula": "ScCu2SiHg", "functional": "PBE-GGA", "state": "optimized geometry", "rho_g_cm3": 6.75, "final_energy_ev_per_cell": -19.06, "lattice_angstrom": [[4.382, 0.000, 0.000], [0.000, 5.134, 0.000], [0.000, 0.000, 4.382]], "species": ["Sc", "Si", "Hg", "Cu", "Cu"], "fractional_positions": [[0.500, 0.500, 0.500], [0.000, 0.000, 0.000], [0.000, 0.500, 0.000], [0.000, 0.000, 0.500], [0.500, 0.000, 0.000]]}

***

{"formula": "RbScNbPt", "functional": "PBE-GGA", "state": "optimized geometry", "polymorph_energy_mev_per_atom": 200, "rho_g_cm3": 6.07, "ef_mev_per_atom": 312, "lattice_angstrom": [[-1.701, 1.488, -2.171], [-0.537, -4.137, -2.416], [-6.296, -1.490, 3.950]], "species": ["Rb", "Sc", "Nb", "Pt"], "fractional_positions": [[0.936, 0.500, 0.584], [0.443, 0.500, 0.084], [0.944, 0.000, 0.175], [0.442, 0.000, 0.898]]}

***

{"formula": "Th3Ga4Co4", "functional": "PBE-GGA", "state": "optimized geometry", "rho_g_cm3": 9.80, "ef_mev_per_atom": -426, "lattice_angstrom": [[3.997, -0.002, 0.002], [-0.002, 4.024, -0.116], [1.984, 1.618, 12.711]], "species": ["Th", "Th", "Th", "Ga", "Ga", "Ga", "Ga", "Co", "Co", "Co", "Co"], "fractional_positions": [[0.152, 0.685, 0.698], [0.848, 0.315, 0.303], [0.000, 0.000, 0.000], [0.598, 0.147, 0.807], [0.250, 0.248, 0.500], [0.750, 0.752, 0.500], [0.402, 0.853, 0.193], [0.543, 0.610, 0.915], [0.457, 0.390, 0.085], [0.308, 0.783, 0.382], [0.692, 0.217, 0.618]]}

***

{"formula": "Mg8Sn2Bi", "functional": "PBE-GGA", "state": "optimized geometry", "rho_g_cm3": 4.03, "ef_mev_per_atom": -98, "lattice_angstrom": [[-4.138, 0.963, -1.784], [-3.129, -4.482, 4.839], [2.277, 6.903, 4.394]], "species": ["Mg", "Mg", "Mg", "Mg", "Mg", "Mg", "Mg", "Mg", "Sn", "Sn", "Bi"], "fractional_positions": [[0.405, 0.534, 0.810], [0.681, 0.916, 0.361], [0.851, 0.786, 0.703], [0.961, 0.276, 0.922], [0.149, 0.214, 0.297], [0.319, 0.084, 0.639], [0.595, 0.466, 0.190], [0.039, 0.724, 0.078], [0.784, 0.331, 0.567], [0.216, 0.669, 0.433], [0.500, 0.000, 0.000]]}